A plane-wave DFT calculation with GGA+U was carried out for CsNa3V4O12 after structural relaxation.

Theoretical density in g cm⁻³: 3.20
Uncorrected energy in eV per atom: -6.2868

a b c (Å): 12.4298 12.4298 6.9528
angles (deg): 90.00 90.00 120.00
Closest atoms and distances in Å follow each position.
Space group R32 (No. 155, hexagonal axes)
Inequivalent atoms, fractional coordinates:
Cs1 0.0000 0.0000 0.0000 x3  6 O 3.14, 2 V 3.48
Na1 0.0000 0.5721 0.0000 x9  6 O 2.32-2.49
V1 0.0000 0.0000 0.5000 x3  3 O 1.68
V2 0.0000 0.4211 0.5000 x9  3 O 1.69-1.73
O1 0.0000 0.5571 0.5000 x9  1 V 1.69
O2 0.0000 0.8647 0.5000 x9  1 V 1.68
O3 0.0588 0.2620 0.1526 x18  1 V 1.73